A plane-wave DFT calculation with PBE+U was carried out for crystalline GaCoWO6 at its relaxed geometry.

```
18
Lattice="4.586 0.000 0.000 0.000 4.586 0.000 0.000 0.000 8.916" Properties=species:S:1:pos:R:3 pbc="T T T"
O 3.190 3.190 5.913
O 0.883 3.704 7.425
O 1.397 1.397 5.913
O 0.896 3.690 1.455
O 0.924 3.662 4.508
O 1.410 1.410 2.967
O 3.690 0.896 1.455
O 3.176 3.176 2.967
O 3.217 3.217 0.050
O 3.704 0.883 7.425
O 1.369 1.369 0.050
O 3.662 0.924 4.508
Ga 0.000 0.000 2.944
Ga 2.293 2.293 7.402
W 0.000 0.000 5.936
W 2.293 2.293 1.478
Co 2.293 2.293 4.469
Co 0.000 0.000 0.010
```

calculated total energy = -6.601 eV per atom
SG = P4_2nm (102)